Below is a relaxed structure of HoCr2BiO8, with properties calculated at the GGA+U level.

density of states at the Fermi level: 0.1 states/eV per cell
electronic total energy: -7.07 eV per atom

```
data_HoCr2BiO8
_chemical_formula_sum 'Ho2 Cr4 Bi2 O16'
_symmetry_space_group_name_H-M 'I -4 m 2'
_symmetry_Int_Tables_number 119
_symmetry_space_group_name_Hall 'I -4 -2'
_cell_length_a 7.274
_cell_length_b 7.274
_cell_length_c 6.371
_cell_angle_alpha 90.00
_cell_angle_beta 90.00
_cell_angle_gamma 90.00
loop_
_atom_site_label
_atom_site_fract_x
_atom_site_fract_y
_atom_site_fract_z
Ho1 0.000 0.000 0.000
Cr1 0.000 0.000 0.500
Cr2 0.000 0.500 0.250
Bi1 0.000 0.500 0.750
O1 0.000 0.178 0.680
O2 0.000 0.315 0.080
```